[1]
The following is a PBE calculation of crystalline Sm2AlGe at its relaxed geometry, from Alexandria via LeMat-Bulk.

abc: 4.4593 4.0883 6.0162
angles: 90.00 111.75 90.00
Last column: nearest neighbours and their distance in Å.
Fractional coordinates of all 4 atoms:
Sm: 0.8036 0.5000 0.6071  4 Al 3.12, 3 Ge 3.16-3.30
Sm: 0.0862 0.0000 0.1723  4 Ge 3.11, 3 Al 3.21-3.26
Al: 0.3737 0.0000 0.7474  2 Ge 2.63
Ge: 0.5211 0.5000 0.0422  2 Al 2.63

Summary:
The energy of formation comes out at -679 meV per atom. As for the total magnetic moment: 0.00 Bohr magnetons per cell. The calculation puts the energy at -5.13 eV per atom.

[2]
The following is a PBE calculation of crystalline Sm2Al3Ge at its relaxed geometry, from Alexandria via LeMat-Bulk.

abc: 4.1440 4.3375 7.5013
angles: 90.00 90.00 90.00
Last column: nearest neighbours and their distance in Å.
Fractional coordinates of all 6 atoms:
Sm: 0.0000 0.5000 0.0059  2 Ge 3.22, 10 Al 3.23-3.28
Sm: 0.0000 0.0000 0.4950  8 Al 3.22-3.27, 4 Ge 3.23
Al: 0.5000 0.0000 0.8315  3 Al 2.50-2.51
Al: 0.5000 0.0000 0.1665  2 Ge 2.51, 1 Al 2.51
Al: 0.5000 0.5000 0.6661  1 Ge 2.48, 2 Al 2.50
Ge: 0.5000 0.5000 0.3349  3 Al 2.48-2.51

Summary:
The energy of formation comes out at -571 meV per atom. As for the total magnetic moment: 0.00 Bohr magnetons per cell. The calculation puts the energy at -4.79 eV per atom.

[3]
The following is a PBE calculation of crystalline SmAlGe2 at its relaxed geometry, from Alexandria via LeMat-Bulk.

abc: 4.4336 4.4336 5.5980
angles: 66.67 66.67 60.00
Last column: nearest neighbours and their distance in Å.
Fractional coordinates of all 4 atoms:
Ge: 0.2816 0.2816 0.1553  3 Al 2.67, 3 Ge 2.99
Ge: 0.7184 0.7184 0.8447  3 Al 2.67, 3 Ge 2.99
Al: 0.0000 0.0000 0.0000  6 Ge 2.67
Sm: 0.5000 0.5000 0.5000  8 Ge 3.08-3.26

Summary:
The energy of formation comes out at -370 meV per atom. As for the total magnetic moment: 0.00 Bohr magnetons per cell. The calculation puts the energy at -4.79 eV per atom.